Record 1
Compound: SiGe
Source: the Alexandria database
Functional: PBE
Structure: relaxed

Values from the calculation:
final energy = -19.00 eV for the cell shown
density = 4.35 g cm⁻³
volume = 19.24 Å³/atom
space-group type = C2/m
E_form (uncorrected) = 0.5 eV per formula unit

Unit cell a=3.9784 b=3.9784 c=7.0250 alpha=115.27 beta=115.27 gamma=51.83
Fractional coordinates of all 4 atoms:
Si: 0.1889 0.1889 0.0830
Si: 0.8111 0.8111 0.9170
Ge: 0.1961 0.1961 0.6095
Ge: 0.8039 0.8039 0.3905

=====

Record 2
Compound: Si23Ge
Source: the Alexandria database
Functional: PBE
Structure: relaxed

Values from the calculation:
final energy = -252.63 eV for the cell shown
density = 2.24 g cm⁻³
volume = 22.20 Å³/atom
space-group type = Pm-3n
E_form (uncorrected) = 3.0 eV per formula unit

Unit cell a=10.2142 b=10.2142 c=10.2142 alpha=90.00 beta=90.00 gamma=90.00
Fractional coordinates of all 48 atoms:
Si: 0.0000 0.1169 0.3081
Si: 0.0000 0.1169 0.6919
Si: 0.0000 0.2500 0.5000
Si: 0.0000 0.7500 0.5000
Si: 0.0000 0.8831 0.3081
Si: 0.0000 0.8831 0.6919
Si: 0.1169 0.3081 0.0000
Si: 0.1169 0.6919 0.0000
Si: 0.1826 0.1826 0.1826
Si: 0.1826 0.1826 0.8174
Si: 0.1826 0.8174 0.1826
Si: 0.1826 0.8174 0.8174
Si: 0.1919 0.3831 0.5000
Si: 0.1919 0.6169 0.5000
Si: 0.2500 0.5000 0.0000
Si: 0.3081 0.0000 0.1169
Si: 0.3081 0.0000 0.8831
Si: 0.3174 0.3174 0.3174
Si: 0.3174 0.3174 0.6826
Si: 0.3174 0.6826 0.3174
Si: 0.3174 0.6826 0.6826
Si: 0.3831 0.5000 0.1919
Si: 0.3831 0.5000 0.8081
Si: 0.5000 0.0000 0.2500
Si: 0.5000 0.0000 0.7500
Si: 0.5000 0.1919 0.3831
Si: 0.5000 0.1919 0.6169
Si: 0.5000 0.8081 0.3831
Si: 0.5000 0.8081 0.6169
Si: 0.6169 0.5000 0.1919
Si: 0.6169 0.5000 0.8081
Si: 0.6826 0.3174 0.3174
Si: 0.6826 0.3174 0.6826
Si: 0.6826 0.6826 0.3174
Si: 0.6826 0.6826 0.6826
Si: 0.6919 0.0000 0.1169
Si: 0.6919 0.0000 0.8831
Si: 0.7500 0.5000 0.0000
Si: 0.8081 0.3831 0.5000
Si: 0.8081 0.6169 0.5000
Si: 0.8174 0.1826 0.1826
Si: 0.8174 0.1826 0.8174
Si: 0.8174 0.8174 0.1826
Si: 0.8174 0.8174 0.8174
Si: 0.8831 0.3081 0.0000
Si: 0.8831 0.6919 0.0000
Ge: 0.0000 0.0000 0.0000
Ge: 0.5000 0.5000 0.5000

=====

Record 3
Compound: SiGe
Source: the Alexandria database
Functional: PBE
Structure: relaxed

Values from the calculation:
final energy = -160.25 eV for the cell shown
density = 3.81 g cm⁻³
volume = 21.92 Å³/atom
space-group type = P2_1
E_form (uncorrected) = 0.0 eV per formula unit

Unit cell a=11.1936 b=5.5984 c=11.1946 alpha=90.00 beta=90.01 gamma=90.00
Fractional coordinates of all 32 atoms:
Si: 0.0009 0.0000 0.1266
Si: 0.1227 0.2399 0.2503
Si: 0.1272 0.7401 0.5020
Si: 0.2508 0.9917 0.8706
Si: 0.2533 0.5003 0.6231
Si: 0.3727 0.7517 0.7449
Si: 0.3773 0.2515 0.5020
Si: 0.4966 0.9921 0.6208
Si: 0.5034 0.4921 0.3792
Si: 0.6227 0.7515 0.4980
Si: 0.6273 0.2517 0.2551
Si: 0.7467 0.0003 0.3769
Si: 0.7492 0.4917 0.1294
Si: 0.8728 0.2401 0.4980
Si: 0.8773 0.7399 0.7497
Si: 0.9991 0.5000 0.8734
Ge: 0.0009 0.4908 0.3768
Ge: 0.1226 0.7521 0.9974
Ge: 0.1273 0.2519 0.7496
Ge: 0.2464 0.4910 0.1265
Ge: 0.2489 0.0000 0.3790
Ge: 0.3727 0.2395 0.9975
Ge: 0.3773 0.7398 0.2547
Ge: 0.4965 0.5004 0.8709
Ge: 0.5035 0.0004 0.1291
Ge: 0.6227 0.2398 0.7453
Ge: 0.6273 0.7395 0.0025
Ge: 0.7511 0.5000 0.6210
Ge: 0.7536 0.9910 0.8735
Ge: 0.8727 0.7519 0.2504
Ge: 0.8774 0.2521 0.0026
Ge: 0.9991 0.9908 0.6232